1.
Below is a relaxed structure of Ca4TlRu, with properties calculated at the PBE-GGA level.

symmetry = No. 15
distance to the lowest polymorph of the same formula = 0.0000 eV/atom
ΔE_f = -0.146 eV per atom
M_tot = 0.0 μB/cell

a = 5.7172 Å, b = 8.4247 Å, c = 8.4247 Å
α = 113.57°, β = 100.03°, γ = 100.03°
Sites, in units of the cell vectors:
Ca 0.8535 0.6353 0.7809
Ca 0.0619 0.9446 0.2850
Ca 0.6465 0.2191 0.3647
Ca 0.4381 0.7150 0.0554
Ca 0.5619 0.2850 0.9446
Ca 0.3535 0.7809 0.6353
Ca 0.9381 0.0554 0.7150
Ca 0.1465 0.3647 0.2191
Tl 0.7500 0.6323 0.3677
Tl 0.2500 0.3677 0.6323
Ru 0.2500 0.9985 0.0015
Ru 0.7500 0.0015 0.9985

2.
Below is a relaxed structure of Ca2TlRu, with properties calculated at the PBE-GGA level.

symmetry = No. 8
distance to the lowest polymorph of the same formula = 0.0240 eV/atom
ΔE_f = 0.058 eV per atom
M_tot = 0.0 μB/cell

a = 6.2314 Å, b = 6.2314 Å, c = 5.1633 Å
α = 65.12°, β = 65.12°, γ = 33.88°
Sites, in units of the cell vectors:
Ru 0.5130 0.5130 0.4834
Tl 0.2069 0.2069 0.2958
Ca 0.9913 0.9913 0.0078
Ca 0.7888 0.7888 0.7131

Question: Number 1 is which compound?
Answer: Ca4TlRu

Question: What is the formula in the second record?
Answer: Ca2TlRu

Question: Number 1 is which compound?
Answer: Ca4TlRu